KLa2FeO5 after structural relaxation, computed with GGA+U.

```
18
Lattice="-3.7914 2.6881 -3.4260 -1.5907 -6.0528 -2.9889 -4.9830 -1.0188 4.7151" Properties=species:S:1:pos:R:3 pbc="T T T"
K -3.2868 -3.5358 0.8631
O -2.1352 -1.7362 -1.3112
O -4.2431 -0.7861 1.7671
O -4.1321 -5.0082 -1.6687
O -4.1251 -0.3253 -3.1093
Fe -0.7953 -3.0264 -1.4944
Fe -2.4915 -0.5094 2.3576
O -6.2330 0.6248 -0.0310
O -6.2400 -4.0581 1.4096
O -5.1825 -2.1917 -0.8499
La -3.8833 -2.9649 -2.8943
O -8.2299 -2.6473 -0.3885
O -6.1220 -3.5974 -3.4668
La -6.5931 -4.3052 -0.9471
La -6.4818 -1.4186 1.1946
O -1.8957 1.3441 -1.7130
K 0.0000 0.0000 0.0000
La -3.7720 -0.0783 -0.7526
```

The calculation puts the density at 5.41 g cm⁻³. The density of states at the Fermi level comes out at 0.0 states/eV/cell. As for the total magnetization: 5.967 μB/cell. Its total energy is -63.96 eV per formula unit.